An optimized crystal structure of TaNiAs2Se, computed with PBE.

Output
Crystal system ... tetragonal
Calculated density ... 6.634 g/cm³
Energy relative to the lowest polymorph listed for this composition ... 0.173 eV per atom
Uncorrected formation energy ... 82.24 kJ/mol of atoms

Cell lengths 4.946, 4.792, 4.946 Å; angles 90.00, 90.00, 90.00 degrees
Fractional positions:
Se 0.500 0.500 0.500
Ni 0.000 0.500 0.000
As 0.000 0.000 0.500
As 0.500 0.000 0.000
Ta 0.000 0.000 0.000

An optimized crystal structure of Tb2SmSc2, computed with PBE.

Output
Calculated formation energy ... 0.1598 eV/atom
Crystal system ... orthorhombic
Calculated density ... 6.187 g/cm³
Energy relative to the lowest polymorph listed for this composition ... 0.000 eV per atom

Cell lengths 3.385, 5.548, 8.444 Å; angles 109.19, 90.00, 90.00 degrees
Site moments in Bohr magnetons follow the coordinates.
Fractional positions:
Tb 0.200 0.395 0.789  0.02
Tb 0.700 0.595 0.191  0.04
Sc 0.200 0.779 0.558  0.13
Sc 0.700 0.211 0.422  0.05
Sm 0.200 0.020 0.041  0.02

An optimized crystal structure of Tb12Cu3H5, computed with PBE.

Output
VASP energy ... -355.150 eV/cell
Crystal system ... cubic
Calculated density ... 8.008 g/cm³

Cell lengths 13.134, 13.134, 13.134 Å; angles 109.47, 109.47, 109.47 degrees
Fractional positions:
Tb 0.115 0.403 0.094
Tb 0.191 0.097 0.712
Tb 0.403 0.115 0.594
Tb 0.594 0.979 0.691
Tb 0.594 0.615 0.403
Tb 0.212 0.691 0.097
Tb 0.115 0.712 0.521
Tb 0.885 0.597 0.906
Tb 0.615 0.594 0.903
Tb 0.809 0.903 0.288
Tb 0.403 0.288 0.309
Tb 0.479 0.691 0.094
Tb 0.521 0.212 0.115
Tb 0.385 0.406 0.097
Tb 0.712 0.115 0.021
Tb 0.097 0.191 0.212
Tb 0.288 0.403 0.809
Tb 0.479 0.788 0.885
Tb 0.521 0.309 0.906
Tb 0.979 0.594 0.191
Tb 0.906 0.097 0.885
Tb 0.885 0.288 0.479
Tb 0.788 0.309 0.903
Tb 0.691 0.479 0.594
Tb 0.309 0.521 0.406
Tb 0.615 0.021 0.212
Tb 0.597 0.885 0.406
Tb 0.212 0.521 0.615
Tb 0.385 0.979 0.788
Tb 0.906 0.809 0.521
Tb 0.309 0.788 0.403
Tb 0.597 0.712 0.691
Tb 0.406 0.021 0.309
Tb 0.094 0.903 0.115
Tb 0.903 0.809 0.788
Tb 0.021 0.406 0.809
Tb 0.406 0.385 0.597
Tb 0.191 0.094 0.979
Tb 0.094 0.191 0.479
Tb 0.903 0.094 0.615
Tb 0.097 0.906 0.385
Tb 0.691 0.212 0.597
Tb 0.712 0.597 0.191
Tb 0.979 0.385 0.288
Tb 0.788 0.479 0.385
Tb 0.021 0.615 0.712
Tb 0.809 0.906 0.021
Tb 0.288 0.885 0.979
Cu 0.625 0.375 0.750
Cu 0.125 0.875 0.750
Cu 0.125 0.250 0.875
Cu 0.375 0.625 0.250
Cu 0.625 0.250 0.375
Cu 0.250 0.125 0.375
Cu 0.375 0.750 0.625
Cu 0.875 0.125 0.250
Cu 0.750 0.375 0.125
Cu 0.250 0.625 0.875
Cu 0.875 0.750 0.125
Cu 0.750 0.875 0.625
H 0.000 0.000 0.500
H 0.750 0.125 0.875
H 0.500 0.500 0.500
H 0.000 0.500 0.500
H 0.375 0.125 0.750
H 0.125 0.375 0.250
H 0.375 0.250 0.125
H 0.625 0.875 0.250
H 0.875 0.250 0.625
H 0.875 0.625 0.750
H 0.750 0.625 0.375
H 0.250 0.875 0.125
H 0.500 0.000 0.500
H 0.500 0.500 0.000
H 0.000 0.000 0.000
H 0.250 0.375 0.625
H 0.125 0.750 0.375
H 0.500 0.000 0.000
H 0.625 0.750 0.875
H 0.000 0.500 0.000

An optimized crystal structure of KAlCdH6, computed with PBE.

Output
VASP energy ... -25.888 eV/cell
Crystal system ... trigonal
Calculated density ... 2.488 g/cm³

Cell lengths 5.037, 5.037, 5.607 Å; angles 90.00, 90.00, 59.99 degrees
Fractional positions:
Al 0.333 0.333 0.500
H 0.040 0.611 0.684
H 0.349 0.040 0.684
H 0.040 0.349 0.316
H 0.611 0.040 0.316
H 0.349 0.611 0.316
H 0.611 0.349 0.684
Cd 0.667 0.667 0.500
K 0.000 0.000 0.000

Record-wise D(E_F) values, in states/eV/cell: 6.555, 10.168, 75.302, 0.000